Record 1
La2TbY (PBE-GGA, optimized geometry); formation energy from the elements = 23 meV per atom; polymorph energy (0 for the lowest one) = 0.015 eV per atom; symmetry = Cmmm (65)
1.0
-3.015 1.359 -1.699
1.770 -2.730 -5.324
-3.573 -4.091 3.070
La Y Tb
2 1 1
Direct
0.000 0.000 0.500
0.000 0.500 0.000
0.500 0.500 0.500
0.500 0.000 0.000

---

Record 2
La2Tb3Ir2 (PBE-GGA, optimized geometry); formation energy from the elements = -589 meV per atom; symmetry = C2/m (12)
1.0
-3.762 0.802 0.449
-2.034 -3.162 5.305
0.010 5.700 6.603
Tb La Ir
3 2 2
Direct
0.620 0.185 0.575
0.500 0.000 0.000
0.380 0.815 0.425
0.169 0.467 0.195
0.831 0.533 0.805
0.176 0.891 0.757
0.824 0.109 0.243

---

Record 3
CuSbOsPd2 (PBE-GGA, optimized geometry); symmetry = P4/mmm (123)
1.0
4.522 0.000 0.000
0.000 4.606 0.000
0.000 0.000 4.522
Os Pd Sb Cu
1 2 1 1
Direct
0.500 0.500 0.500
0.000 0.000 0.500
0.500 0.000 0.000
0.000 0.500 0.000
0.000 0.000 0.000

---

Record 4
Mg3BiN (PBE-GGA, optimized geometry); symmetry = P2_1/m (11)
1.0
20.859 0.000 -1.522
0.000 6.721 0.000
-7.374 0.000 3.453
N Bi Mg
4 4 12
Direct
0.838 0.750 0.338
0.662 0.250 0.162
0.162 0.250 0.662
0.338 0.750 0.838
0.865 0.750 0.864
0.135 0.250 0.136
0.365 0.750 0.364
0.635 0.250 0.636
0.591 0.750 0.591
0.014 0.250 0.515
0.514 0.250 0.015
0.250 0.500 0.750
0.750 0.000 0.250
0.250 0.000 0.750
0.986 0.750 0.485
0.909 0.250 0.909
0.091 0.750 0.091
0.409 0.250 0.409
0.750 0.500 0.250
0.486 0.750 0.985

---

Record 5
HfGe4Rh5 (PBE-GGA, optimized geometry); formation energy from the elements = -419 meV per atom; symmetry = Pmmn (59)
1.0
-5.458 0.847 0.219
-0.643 -5.572 5.517
1.020 5.185 5.355
Rh Hf Ge
10 2 8
Direct
0.254 0.701 0.230
0.254 0.299 0.230
0.254 0.701 0.770
0.035 0.000 0.500
0.254 0.299 0.770
0.746 0.201 0.730
0.746 0.799 0.270
0.746 0.799 0.730
0.746 0.201 0.270
0.965 0.500 0.000
0.530 0.000 0.000
0.470 0.500 0.500
0.568 0.344 0.000
0.081 0.000 0.822
0.432 0.844 0.500
0.568 0.656 0.000
0.081 0.000 0.178
0.432 0.156 0.500
0.919 0.500 0.322
0.919 0.500 0.678

---

Record 6
LiTa2FeB (PBE-GGA, optimized geometry); formation energy from the elements = 198 meV per atom; symmetry = P4/mmm (123)
1.0
-3.435 -2.406 1.248
2.309 -2.565 1.410
-0.052 2.072 3.853
Fe B Ta Li
1 1 2 1
Direct
0.000 0.500 0.000
0.000 0.000 0.000
0.000 0.000 0.500
0.500 0.000 0.000
0.500 0.500 0.500

---

Number 1: calculated total energy -5.214 eV per atom, total magnetic moment 0.00 μB/cell, D(E_F) 7.03 states/eV/f.u.. Number 2: calculated total energy -6.513 eV per atom, total magnetic moment 0.00 μB/cell, D(E_F) 8.05 states/eV/f.u.. Number 3: calculated total energy -4.736 eV per atom, total magnetic moment 0.00 μB/cell, D(E_F) 3.79 states/eV/f.u.. Number 4: calculated total energy -3.712 eV per atom, total magnetic moment 0.00 μB/cell, D(E_F) 0.00 states/eV/f.u.. Number 5: calculated total energy -6.937 eV per atom, total magnetic moment 0.00 μB/cell, D(E_F) 5.93 states/eV/f.u.. Number 6: calculated total energy -7.954 eV per atom, total magnetic moment 0.27 μB/cell, D(E_F) 4.49 states/eV/f.u..